Entry 1:
The following is a DFT calculation (PBE) of ScCoSe2 after structural relaxation.

As for the energy relative to the lowest polymorph listed for this composition: 75.95 kJ/mol of atoms. The calculation puts the formation energy (no corrections) at -71 meV/atom. The crystal system is cubic. The calculation puts the electronic total energy at -5.172 eV per atom. The density of states at the Fermi level is 11.8 states/eV per cell.

The space group is F-43m (No. 216) and the conventional cell measures 6.585, 6.585 and 6.585 Å, with angles of 90.00, 90.00 and 90.00 degrees. Symmetry generates all atoms from Sc at (0.000, 0.000, 0.000), Co at (0.250, 0.250, 0.250), Se at (0.000, 0.000, 0.500) and Se at (0.250, 0.250, 0.750).

Entry 2:
The following is a DFT calculation (PBE) of NdSm2SnN4 after structural relaxation.

The calculation puts the formation energy (no corrections) at -797 meV/atom. The crystal system is orthorhombic. The calculation puts the electronic total energy at -7.236 eV per atom. The density of states at the Fermi level is 6.3 states/eV per cell.

The space group is Cmcm (No. 63) and the conventional cell measures 3.630, 11.986 and 12.304 Å, with angles of 90.00, 90.00 and 90.00 degrees. Symmetry generates all atoms from Nd at (0.000, 0.115, 0.250), Sm at (0.000, 0.371, 0.036), Sn at (0.000, 0.149, 0.750), N at (0.000, 0.000, 0.000), N at (0.000, 0.270, 0.626) and N at (0.000, 0.448, 0.250).

Entry 3:
The following is a DFT calculation (PBE) of YInAgBr2 after structural relaxation.

The calculation puts the formation energy (no corrections) at -26 meV/atom. The crystal system is tetragonal. The calculation puts the electronic total energy at -3.106 eV per atom. The density of states at the Fermi level is 3.4 states/eV per cell.

The space group is P4/mmm (No. 123) and the conventional cell measures 5.239, 5.239 and 5.672 Å, with angles of 90.00, 90.00 and 90.00 degrees. Symmetry generates all atoms from Y at (0.000, 0.000, 0.000), In at (0.500, 0.500, 0.000), Ag at (0.500, 0.500, 0.500) and Br at (0.000, 0.500, 0.500).

Entry 4:
The following is a DFT calculation (PBE) of Li4Ac3In4 after structural relaxation.

Its formation energy is -309 meV per atom. The crystal system is triclinic. The calculation puts the electronic total energy at -3.122 eV per atom. The density of states at the Fermi level is 7.3 states/eV per cell.

The space group is P-1 (No. 2) and the conventional cell measures 3.859, 5.140 and 16.019 Å, with angles of 99.14, 96.92 and 90.01 degrees. Symmetry generates all atoms from Li at (0.094, 0.094, 0.188), Li at (0.243, 0.742, 0.486), Ac at (0.355, 0.355, 0.710), Ac at (0.500, 0.000, 0.000), In at (0.050, 0.550, 0.100) and In at (0.189, 0.188, 0.376).